*A*
Tb2PmY | GGA-PBE | relaxed

The structure belongs to space group Amm2 (No. 38); the cell edges are 5.571, 3.558 and 13.273 Å and the angles 90.00°, 90.00° and 90.00°. Symmetry generates all atoms from Tb at (0.000, 0.000, 0.000), Tb at (0.500, 0.000, 0.127), Pm at (0.500, 0.000, 0.388) and Y at (0.000, 0.000, 0.737).

For the magnetic moment, the calculation gives 0.00 μB per cell.

*B*
Tb2PmY | GGA-PBE | relaxed

The structure belongs to space group Fm-3m (No. 225); the cell edges are 8.088, 8.088 and 8.088 Å and the angles 90.00°, 90.00° and 90.00°. Symmetry generates all atoms from Tb at (0.250, 0.250, 0.250), Pm at (0.000, 0.000, 0.000) and Y at (0.000, 0.000, 0.500).

For the magnetic moment, the calculation gives 0.11 μB per cell.

Stability ranking, top and bottom: *A* is the most stable and *B* is the least stable.